Record 1
First-principles (GGA-PBE) data for Tb6CeHo3Er2 after structural relaxation, as listed in Alexandria via LeMat-Bulk.

Output
Formation energy from the elements (kcal/mol of atoms): 0.8
SG: C2/m, No. 12
Crystal system: monoclinic

Structure (extended XYZ):
```
12
Lattice="3.067 -5.309 0.000 3.067 5.309 0.000 -2.043 0.000 11.564" Properties=species:S:1:pos:R:3 pbc="T T T"
Tb -0.003 1.761 8.671
Tb 1.012 0.000 2.892
Tb -0.003 -1.761 8.671
Tb 4.094 1.761 2.893
Tb 3.078 0.000 8.672
Tb 4.094 -1.761 2.893
Ce -1.022 0.000 5.782
Ho 3.067 3.532 0.000
Ho 3.067 0.000 0.000
Ho 3.067 -3.532 0.000
Er 2.045 1.769 5.782
Er 2.045 -1.769 5.782
```

***

Record 2
First-principles (GGA-PBE) data for TeRh2O6 after structural relaxation, as listed in Alexandria via LeMat-Bulk.

Output
Formation energy without anion corrections (eV per formula unit): -7.20
SG: P4_2/mnm, No. 136
Crystal system: tetragonal

Structure (extended XYZ):
```
18
Lattice="4.681 0.000 0.000 0.000 4.681 0.000 0.000 0.000 9.541" Properties=species:S:1:pos:R:3 pbc="T T T"
Te 0.000 0.000 0.000
Te 2.341 2.341 4.771
Rh 0.000 0.000 3.171
Rh 0.000 0.000 6.370
Rh 2.341 2.341 1.599
Rh 2.341 2.341 7.942
O 0.890 0.890 4.771
O 0.912 0.912 1.596
O 0.912 0.912 7.945
O 1.429 3.252 3.174
O 1.429 3.252 6.367
O 1.450 3.231 0.000
O 3.231 1.450 0.000
O 3.252 1.429 3.174
O 3.252 1.429 6.367
O 3.770 3.770 1.596
O 3.770 3.770 7.945
O 3.791 3.791 4.771
```

***

Record 3
First-principles (GGA-PBE) data for TmBeZn2Au5 after structural relaxation, as listed in Alexandria via LeMat-Bulk.

Output
Formation energy from the elements (kcal/mol of atoms): -6.1
SG: Immm, No. 71
Crystal system: orthorhombic

Structure (extended XYZ):
```
9
Lattice="-2.220 2.995 6.505 2.220 -2.995 6.505 2.220 2.995 -6.505" Properties=species:S:1:pos:R:3 pbc="T T T"
Tm 0.000 0.000 0.000
Be 0.000 0.000 6.505
Zn 2.220 0.000 3.918
Zn 0.000 2.995 2.587
Au 2.220 1.406 -1.722
Au 2.220 1.406 1.722
Au 0.000 2.995 0.000
Au 0.000 1.589 4.784
Au 0.000 1.589 8.227
```

***

Record 4
First-principles (GGA-PBE) data for Dy6Er5Sc2 after structural relaxation, as listed in Alexandria via LeMat-Bulk.

Output
Formation energy from the elements (kcal/mol of atoms): 1.2
SG: Pbam, No. 55
Crystal system: orthorhombic

Structure (extended XYZ):
```
26
Lattice="11.210 0.000 0.000 0.000 19.976 0.000 0.000 0.000 3.524" Properties=species:S:1:pos:R:3 pbc="T T T"
Dy 0.914 3.095 0.000
Dy 1.864 17.645 1.762
Dy 2.433 11.086 1.762
Dy 3.172 1.098 1.762
Dy 3.742 7.657 1.762
Dy 4.692 13.083 0.000
Dy 6.519 6.893 0.000
Dy 7.469 12.320 1.762
Dy 8.039 18.878 1.762
Dy 8.777 8.890 1.762
Dy 9.347 2.332 1.762
Dy 10.297 16.881 0.000
Er 0.000 0.000 0.000
Er 0.681 8.427 0.000
Er 1.609 14.392 0.000
Er 3.996 4.404 0.000
Er 4.924 18.415 0.000
Er 5.605 9.988 0.000
Er 6.287 1.562 0.000
Er 7.214 15.572 0.000
Er 9.601 5.584 0.000
Er 10.529 11.550 0.000
Sc 1.295 5.728 1.762
Sc 4.310 15.716 1.762
Sc 6.900 4.260 1.762
Sc 9.916 14.249 1.762
```

***

Record 5
First-principles (GGA-PBE) data for CaCoCl2 after structural relaxation, as listed in Alexandria via LeMat-Bulk.

Output
Formation energy without anion corrections (eV per formula unit): -3.17
ΔE to the lowest computed polymorph (meV per atom): 135
SG: R-3m, No. 166
Crystal system: trigonal

Structure (extended XYZ):
```
4
Lattice="2.124 1.227 6.817 -2.124 1.227 6.817 0.000 -2.453 6.817" Properties=species:S:1:pos:R:3 pbc="T T T"
Ca 0.000 0.000 0.000
Co 0.000 0.000 10.226
Cl 0.000 0.000 8.103
Cl 0.000 0.000 12.349
```

***

Record 6
First-principles (GGA-PBE) data for Nd2Zn2CdRh5 after structural relaxation, as listed in Alexandria via LeMat-Bulk.

Output
Formation energy from the elements (kcal/mol of atoms): -10.9
SG: P4/mbm, No. 127
Crystal system: tetragonal

Structure (extended XYZ):
```
20
Lattice="9.764 0.000 0.000 0.000 9.764 0.000 0.000 0.000 3.759" Properties=species:S:1:pos:R:3 pbc="T T T"
Nd 1.729 3.153 0.000
Nd 3.153 8.034 0.000
Nd 6.611 1.729 0.000
Nd 8.034 6.611 0.000
Zn 1.176 6.057 0.000
Zn 3.706 1.176 0.000
Zn 6.057 8.588 0.000
Zn 8.588 3.706 0.000
Cd 0.000 0.000 0.000
Cd 4.882 4.882 0.000
Rh 0.000 4.882 1.879
Rh 0.662 7.720 1.879
Rh 2.044 0.662 1.879
Rh 2.838 5.543 1.879
Rh 4.220 2.838 1.879
Rh 4.882 0.000 1.879
Rh 5.543 6.926 1.879
Rh 6.926 4.220 1.879
Rh 7.720 9.102 1.879
Rh 9.102 2.044 1.879
```

***

Record 7
First-principles (GGA-PBE) data for BaAl3Pt after structural relaxation, as listed in Alexandria via LeMat-Bulk.

Output
Formation energy from the elements (kcal/mol of atoms): -9.1
SG: Pm-3m, No. 221
Crystal system: cubic

Structure (extended XYZ):
```
5
Lattice="4.928 0.000 0.000 0.000 4.928 0.000 0.000 0.000 4.928" Properties=species:S:1:pos:R:3 pbc="T T T"
Ba 0.000 0.000 0.000
Al 0.000 2.464 2.464
Al 2.464 0.000 2.464
Al 2.464 2.464 0.000
Pt 2.464 2.464 2.464
```

***

Record 8
First-principles (GGA-PBE) data for Hf6ReRu after structural relaxation, as listed in Alexandria via LeMat-Bulk.

Output
ΔE to the lowest computed polymorph (meV per atom): 106
Formation energy from the elements (kcal/mol of atoms): -3.3
SG: C2/m, No. 12
Crystal system: monoclinic

Structure (extended XYZ):
```
8
Lattice="3.149 -4.529 0.000 3.149 4.529 0.000 -1.508 0.000 5.548" Properties=species:S:1:pos:R:3 pbc="T T T"
Hf 1.492 2.281 4.055
Hf 1.601 0.000 0.002
Hf 3.298 2.281 1.493
Hf 1.492 -2.281 4.055
Hf 3.189 0.000 5.547
Hf 3.298 -2.281 1.493
Re 2.395 0.000 2.774
Ru -0.754 0.000 2.774
```

***

Record 9
First-principles (GGA-PBE) data for LaTeF2 after structural relaxation, as listed in Alexandria via LeMat-Bulk.

Output
Formation energy without anion corrections (eV per formula unit): -8.94
ΔE to the lowest computed polymorph (meV per atom): 628
SG: Fm-3m, No. 225
Crystal system: cubic

Structure (extended XYZ):
```
4
Lattice="0.000 3.373 3.373 3.373 0.000 3.373 3.373 3.373 0.000" Properties=species:S:1:pos:R:3 pbc="T T T"
La 0.000 0.000 0.000
Te 3.373 3.373 3.373
F 1.686 1.686 1.686
F 5.059 5.059 5.059
```

***

Record 10
First-principles (GGA-PBE) data for LaBiO2 after structural relaxation, as listed in Alexandria via LeMat-Bulk.

Output
Formation energy without anion corrections (eV per formula unit): -9.25
SG: R-3m, No. 166
Crystal system: trigonal

Structure (extended XYZ):
```
4
Lattice="1.869 1.079 6.910 -1.869 1.079 6.910 0.000 -2.158 6.910" Properties=species:S:1:pos:R:3 pbc="T T T"
La 0.000 0.000 0.000
Bi 0.000 0.000 10.366
O 0.000 0.000 8.000
O 0.000 0.000 12.731
```

***

Record 11
First-principles (GGA-PBE) data for Pt5Se after structural relaxation, as listed in Alexandria via LeMat-Bulk.

Output
Formation energy without anion corrections (eV per formula unit): 0.67
SG: P4/mmm, No. 123
Crystal system: tetragonal

Structure (extended XYZ):
```
6
Lattice="3.001 0.000 0.000 0.000 3.001 0.000 0.000 0.000 10.754" Properties=species:S:1:pos:R:3 pbc="T T T"
Pt 0.000 0.000 0.000
Pt 0.000 0.000 3.616
Pt 0.000 0.000 7.138
Pt 1.501 1.501 1.761
Pt 1.501 1.501 8.993
Se 1.501 1.501 5.377
```

***

Record 12
First-principles (GGA-PBE) data for Np2Se after structural relaxation, as listed in Alexandria via LeMat-Bulk.

Output
Formation energy without anion corrections (eV per formula unit): -0.90
SG: I4/mmm, No. 139
Crystal system: tetragonal

Structure (extended XYZ):
```
3
Lattice="-1.717 1.717 4.745 1.717 -1.717 4.745 1.717 1.717 -4.745" Properties=species:S:1:pos:R:3 pbc="T T T"
Np 0.000 0.000 1.908
Np 0.000 0.000 7.582
Se 0.000 0.000 4.745
```

***

Record 13
First-principles (GGA-PBE) data for DyMgAlAu after structural relaxation, as listed in Alexandria via LeMat-Bulk.

Output
Formation energy from the elements (kcal/mol of atoms): -11.9
SG: F-43m, No. 216
Crystal system: cubic

Structure (extended XYZ):
```
4
Lattice="0.000 3.468 3.468 3.468 0.000 3.468 3.468 3.468 0.000" Properties=species:S:1:pos:R:3 pbc="T T T"
Dy 0.000 0.000 0.000
Mg 3.468 3.468 3.468
Al 5.202 5.202 5.202
Au 1.734 1.734 1.734
```

***

Record 14
First-principles (GGA-PBE) data for Y2CrRh2 after structural relaxation, as listed in Alexandria via LeMat-Bulk.

Output
ΔE to the lowest computed polymorph (meV per atom): 376
Formation energy from the elements (kcal/mol of atoms): 1.9
SG: I4/mmm, No. 139
Crystal system: tetragonal

Structure (extended XYZ):
```
5
Lattice="-1.916 1.916 7.734 1.916 -1.916 7.734 1.916 1.916 -7.734" Properties=species:S:1:pos:R:3 pbc="T T T"
Y 0.000 0.000 1.806
Y 0.000 0.000 13.661
Cr 0.000 0.000 7.734
Rh 1.916 0.000 3.867
Rh 0.000 1.916 3.867
```

***

Record 15
First-principles (GGA-PBE) data for LaCuSb2 after structural relaxation, as listed in Alexandria via LeMat-Bulk.

Output
Formation energy without anion corrections (eV per formula unit): -2.17
SG: I-42d, No. 122
Crystal system: tetragonal

Structure (extended XYZ):
```
8
Lattice="-3.989 3.989 3.262 3.989 -3.989 3.262 3.989 3.989 -3.262" Properties=species:S:1:pos:R:3 pbc="T T T"
La 0.000 0.000 0.000
La 0.000 3.989 1.631
Cu 3.989 0.000 1.631
Cu 0.000 0.000 3.262
Sb 1.995 -1.490 2.447
Sb 2.499 1.995 0.816
Sb 1.995 5.479 -0.816
Sb 1.490 1.995 4.078
```

***

Record 16
First-principles (GGA-PBE) data for Ho2TlH after structural relaxation, as listed in Alexandria via LeMat-Bulk.

Output
ΔE to the lowest computed polymorph (meV per atom): 0
SG: P4/nmm, No. 129
Crystal system: tetragonal

Structure (extended XYZ):
```
8
Lattice="4.523 0.000 0.000 0.000 4.523 0.000 0.000 0.000 8.439" Properties=species:S:1:pos:R:3 pbc="T T T"
Ho 1.131 1.131 1.282
Ho 1.131 3.393 4.219
Ho 3.393 1.131 4.219
Ho 3.393 3.393 7.157
Tl 1.131 1.131 6.588
Tl 3.393 3.393 1.850
H 1.131 1.131 3.532
H 3.393 3.393 4.907
```

***

Record 17
First-principles (GGA-PBE) data for ThAgOs after structural relaxation, as listed in Alexandria via LeMat-Bulk.

Output
ΔE to the lowest computed polymorph (meV per atom): 0
Formation energy from the elements (kcal/mol of atoms): -3.0
SG: Cmcm, No. 63
Crystal system: orthorhombic

Structure (extended XYZ):
```
6
Lattice="1.931 -8.802 0.000 1.931 8.802 0.000 0.000 0.000 3.993" Properties=species:S:1:pos:R:3 pbc="T T T"
Th 1.931 7.056 2.995
Th 1.931 -7.056 0.998
Ag 1.931 3.752 2.995
Ag 1.931 -3.752 0.998
Os 1.931 0.856 2.995
Os 1.931 -0.856 0.998
```

***

Record 18
First-principles (GGA-PBE) data for Ce6GaPt after structural relaxation, as listed in Alexandria via LeMat-Bulk.

Output
Formation energy from the elements (kcal/mol of atoms): -7.3
SG: P-1, No. 2
Crystal system: triclinic

Structure (extended XYZ):
```
8
Lattice="5.688 0.000 0.000 -0.784 5.928 0.000 -1.026 -0.344 5.951" Properties=species:S:1:pos:R:3 pbc="T T T"
Ce -0.210 0.026 1.443
Ce 0.375 3.175 3.173
Ce 1.341 0.961 5.581
Ce 2.538 4.624 0.370
Ce 3.503 2.409 2.778
Ce 4.089 5.558 4.507
Ga -0.392 2.964 0.000
Pt 2.331 -0.172 2.975
```

***

Record 19
First-principles (GGA-PBE) data for CePmTlTe after structural relaxation, as listed in Alexandria via LeMat-Bulk.

Output
Formation energy without anion corrections (eV per formula unit): -3.13
SG: P4/mmm, No. 123
Crystal system: tetragonal

Structure (extended XYZ):
```
4
Lattice="4.501 0.000 0.000 0.000 4.501 0.000 0.000 0.000 6.355" Properties=species:S:1:pos:R:3 pbc="T T T"
Ce 0.000 0.000 0.000
Pm 2.251 2.251 3.177
Tl 2.251 2.251 0.000
Te 0.000 0.000 3.177
```

***

Record 20
First-principles (GGA-PBE) data for AgRu2Pb after structural relaxation, as listed in Alexandria via LeMat-Bulk.

Output
Formation energy from the elements (kcal/mol of atoms): 9.0
SG: P4mm, No. 99
Crystal system: tetragonal

Structure (extended XYZ):
```
4
Lattice="2.941 0.000 0.000 0.000 2.941 0.000 0.000 0.000 8.574" Properties=species:S:1:pos:R:3 pbc="T T T"
Ag 0.000 0.000 0.000
Ru 0.000 0.000 4.991
Ru 1.471 1.471 6.523
Pb 1.471 1.471 2.737
```

***

Number 1: mass density 8479 kg/m³, volume 376.59 Å³ per cell, magnetization 1.20 μB per formula unit. Number 2: mass density 6821 kg/m³, volume 209.09 Å³ per cell, magnetization 0.00 μB per formula unit. Number 3: mass density 12413 kg/m³, volume 173.05 Å³ per cell, magnetization 0.00 μB per formula unit. Number 4: mass density 8000 kg/m³, volume 789.23 Å³ per cell, magnetization 0.00 μB per formula unit. Number 5: mass density 2647 kg/m³, volume 106.58 Å³ per cell, magnetization 1.00 μB per formula unit. Number 6: mass density 9697 kg/m³, volume 358.32 Å³ per cell, magnetization 0.00 μB per formula unit. Number 7: mass density 5737 kg/m³, volume 119.65 Å³ per cell, magnetization 0.00 μB per formula unit. Number 8: mass density 14250 kg/m³, volume 158.27 Å³ per cell, magnetization 0.00 μB per formula unit. Number 9: mass density 6591 kg/m³, volume 76.72 Å³ per cell, magnetization 0.00 μB per formula unit. Number 10: mass density 7546 kg/m³, volume 83.60 Å³ per cell, magnetization 0.00 μB per formula unit. Number 11: mass density 18078 kg/m³, volume 96.85 Å³ per cell, magnetization 0.00 μB per formula unit. Number 12: mass density 16416 kg/m³, volume 55.93 Å³ per cell, magnetization 0.00 μB per formula unit. Number 13: mass density 8179 kg/m³, volume 83.40 Å³ per cell, magnetization 0.00 μB per formula unit. Number 14: mass density 6369 kg/m³, volume 113.58 Å³ per cell, magnetization 4.17 μB per formula unit. Number 15: mass density 7132 kg/m³, volume 207.67 Å³ per cell, magnetization 0.00 μB per formula unit. Number 16: mass density 10295 kg/m³, volume 172.67 Å³ per cell, magnetization 0.00 μB per formula unit. Number 17: mass density 12970 kg/m³, volume 135.74 Å³ per cell, magnetization 0.00 μB per formula unit. Number 18: mass density 9149 kg/m³, volume 200.64 Å³ per cell, magnetization 1.83 μB per formula unit. Number 19: mass density 7959 kg/m³, volume 128.75 Å³ per cell, magnetization 0.84 μB per formula unit. Number 20: mass density 11580 kg/m³, volume 74.17 Å³ per cell, magnetization 0.00 μB per formula unit.